No. 1
Rb3Mg2Te4: relaxed, PBE-GGA.

The formation energy without anion corrections comes out at -0.905 eV/atom. Its total energy is -26.8 eV for the cell shown. The value obtained for the calculated volume is 44.9 Å³ per atom. As for the spin magnetization: 0.3 μB per cell. The crystal system is triclinic.

a = 4.3571 Å, b = 10.2795 Å, c = 10.5221 Å
α = 62.12°, β = 78.11°, γ = 77.89°
Element x y z (fractional)
Rb  0.0000  0.0000  0.0000
Rb  0.1183  0.3416  0.4217
Rb  0.8817  0.6584  0.5783
Mg  0.3229  0.3925  0.9583
Mg  0.6771  0.6075  0.0417
Te  0.2220  0.7108  0.8478
Te  0.4790  0.3026  0.7384
Te  0.5210  0.6974  0.2616
Te  0.7780  0.2892  0.1522

---

No. 2
NaNd5Zn4: relaxed, PBE-GGA.

Its total energy is -32.3 eV for the cell shown. The value obtained for the calculated volume is 27.2 Å³ per atom. The value obtained for the energy of formation from the pure elements is -202.3 meV per atom. As for the spin magnetization: 0.0 μB per cell. The crystal system is tetragonal.

a = 3.6896 Å, b = 3.6896 Å, c = 20.0134 Å
α = 90.00°, β = 90.00°, γ = 90.00°
Element x y z (fractional)
Na  0.0000  0.0000  0.0000
Nd  0.5000  0.5000  0.1370
Nd  0.5000  0.5000  0.3163
Nd  0.5000  0.5000  0.5000
Nd  0.5000  0.5000  0.6837
Nd  0.5000  0.5000  0.8630
Zn  0.0000  0.0000  0.2230
Zn  0.0000  0.0000  0.4072
Zn  0.0000  0.0000  0.5928
Zn  0.0000  0.0000  0.7770

---

No. 3
Rb2MgHg4: relaxed, PBE-GGA.

Its total energy is -5.7 eV for the cell shown. The value obtained for the calculated volume is 40.7 Å³ per atom. The value obtained for the energy of formation from the pure elements is -133.6 meV per atom. As for the spin magnetization: 0.0 μB per cell. The crystal system is tetragonal.

a = 9.9530 Å, b = 9.9530 Å, c = 9.9530 Å
α = 147.43°, β = 147.43°, γ = 46.73°
Element x y z (fractional)
Rb  0.1385  0.1385  0.0000
Rb  0.8615  0.8615  0.0000
Mg  0.5000  0.5000  0.0000
Hg  0.0000  0.5000  0.5000
Hg  0.3415  0.3415  0.0000
Hg  0.5000  0.0000  0.5000
Hg  0.6585  0.6585  0.0000

---

No. 4
Ca2SiHg: relaxed, PBE-GGA.

The formation energy without anion corrections comes out at -0.428 eV/atom. Its total energy is -11.4 eV for the cell shown. The value obtained for the calculated volume is 25.2 Å³ per atom. As for the spin magnetization: 0.0 μB per cell. The crystal system is tetragonal.

a = 5.2532 Å, b = 5.2532 Å, c = 3.6514 Å
α = 90.00°, β = 90.00°, γ = 90.00°
Element x y z (fractional)
Ca  0.0000  0.5000  0.0000
Ca  0.5000  0.0000  0.0000
Si  0.0000  0.0000  0.5000
Hg  0.5000  0.5000  0.5000

---

No. 5
SrCa3Bi: relaxed, PBE-GGA.

Its total energy is -12.7 eV for the cell shown. The value obtained for the calculated volume is 46.9 Å³ per atom. The value obtained for the energy of formation from the pure elements is -229.2 meV per atom. As for the spin magnetization: 1.0 μB per cell. The crystal system is cubic.

a = 6.1670 Å, b = 6.1670 Å, c = 6.1670 Å
α = 90.00°, β = 90.00°, γ = 90.00°
Element x y z (fractional)
Sr  0.0000  0.0000  0.0000
Ca  0.0000  0.5000  0.5000
Ca  0.5000  0.0000  0.5000
Ca  0.5000  0.5000  0.0000
Bi  0.5000  0.5000  0.5000

---

No. 6
Be2AsCl: relaxed, PBE-GGA.

The formation energy without anion corrections comes out at -0.066 eV/atom. Its total energy is -14.2 eV for the cell shown. The value obtained for the calculated volume is 28.7 Å³ per atom. As for the spin magnetization: 0.0 μB per cell. The crystal system is orthorhombic.

a = 4.9049 Å, b = 4.9049 Å, c = 6.7927 Å
α = 90.00°, β = 90.00°, γ = 135.38°
Element x y z (fractional)
Be  0.0000  0.0000  0.0000
Be  0.5000  0.5000  0.1746
As  0.0000  0.0000  0.3095
Cl  0.5000  0.5000  0.8349